Ba2LiCdO: relaxed, GGA-PBE.

Summary:
Space-group type   P4/mmm (123)
Theoretical density   4.9 Mg/m³
E_form (uncorrected)   -1.034 eV per atom
D(E_F)   0.854 states/eV/atom

a = 5.739 Å, b = 5.739 Å, c = 4.207 Å
α = 90.00°, β = 90.00°, γ = 90.00°
Fractional positions:
Ba (0.000, 0.500, 0.000)
Ba (0.500, 0.000, 0.000)
Li (0.000, 0.000, 0.500)
Cd (0.500, 0.500, 0.500)
O (0.000, 0.000, 0.000)

---

BaLiCdP: relaxed, GGA-PBE.

Summary:
Space-group type   P4/nmm (129)
Theoretical density   4.3 Mg/m³
Formation enthalpy at 0 K   -0.592 eV per atom
D(E_F)   0.342 states/eV/atom

a = 4.288 Å, b = 4.288 Å, c = 12.079 Å
α = 90.00°, β = 90.00°, γ = 90.00°
Fractional positions:
Ba (0.250, 0.250, 0.213)
Ba (0.750, 0.750, 0.787)
Li (0.250, 0.750, 0.000)
Li (0.750, 0.250, 0.000)
Cd (0.250, 0.750, 0.500)
Cd (0.750, 0.250, 0.500)
P (0.250, 0.250, 0.882)
P (0.750, 0.750, 0.118)

---

Ba2LiCdP: relaxed, GGA-PBE.

Summary:
Space-group type   P4/mmm (123)
E above lowest polymorph   210.3 meV/atom
Theoretical density   3.5 Mg/m³
Formation enthalpy at 0 K   -0.281 eV per atom
D(E_F)   0.930 states/eV/atom

a = 6.295 Å, b = 6.295 Å, c = 5.145 Å
α = 90.00°, β = 90.00°, γ = 90.00°
Fractional positions:
Ba (0.000, 0.500, 0.000)
Ba (0.500, 0.000, 0.000)
Li (0.000, 0.000, 0.500)
Cd (0.500, 0.500, 0.500)
P (0.500, 0.500, 0.000)

---

Ba4Li2Cd3P6: relaxed, GGA-PBE.

Summary:
Space-group type   Cmcm (63)
Theoretical density   4.7 Mg/m³
Formation enthalpy at 0 K   -0.779 eV per atom
D(E_F)   0.004 states/eV/atom

a = 10.278 Å, b = 10.278 Å, c = 16.966 Å
α = 90.00°, β = 90.00°, γ = 154.60°
Fractional positions:
Ba (0.017, 0.983, 0.622)
Ba (0.017, 0.983, 0.878)
Ba (0.171, 0.829, 0.069)
Ba (0.171, 0.829, 0.431)
Ba (0.829, 0.171, 0.569)
Ba (0.829, 0.171, 0.931)
Ba (0.983, 0.017, 0.122)
Ba (0.983, 0.017, 0.378)
Li (0.150, 0.850, 0.750)
Li (0.438, 0.562, 0.750)
Li (0.562, 0.438, 0.250)
Li (0.850, 0.150, 0.250)
Cd (0.297, 0.703, 0.750)
Cd (0.349, 0.651, 0.126)
Cd (0.349, 0.651, 0.374)
Cd (0.651, 0.349, 0.626)
Cd (0.651, 0.349, 0.874)
Cd (0.703, 0.297, 0.250)
P (0.119, 0.881, 0.250)
P (0.220, 0.780, 0.619)
P (0.220, 0.780, 0.881)
P (0.430, 0.570, 0.250)
P (0.444, 0.556, 0.511)
P (0.444, 0.556, 0.989)
P (0.556, 0.444, 0.011)
P (0.556, 0.444, 0.489)
P (0.570, 0.430, 0.750)
P (0.780, 0.220, 0.119)
P (0.780, 0.220, 0.381)
P (0.881, 0.119, 0.750)

---

Ba2LiCdP: relaxed, GGA-PBE.

Summary:
Space-group type   P4/mmm (123)
E above lowest polymorph   0.0 meV/atom
Theoretical density   3.7 Mg/m³
Formation enthalpy at 0 K   -0.491 eV per atom
D(E_F)   0.759 states/eV/atom

a = 6.317 Å, b = 6.317 Å, c = 4.721 Å
α = 90.00°, β = 90.00°, γ = 90.00°
Fractional positions:
Ba (0.000, 0.500, 0.000)
Ba (0.500, 0.000, 0.000)
Li (0.000, 0.000, 0.500)
Cd (0.500, 0.500, 0.500)
P (0.000, 0.000, 0.000)

---

BaLiCdP2: relaxed, GGA-PBE.

Summary:
Space-group type   C2/m (12)
Theoretical density   4.4 Mg/m³
Formation enthalpy at 0 K   -0.651 eV per atom

a = 6.993 Å, b = 6.993 Å, c = 8.693 Å
α = 113.01°, β = 113.01°, γ = 37.93°
Fractional positions:
Ba (0.193, 0.193, 0.171)
Ba (0.807, 0.807, 0.829)
Li (0.364, 0.364, 0.576)
Li (0.636, 0.636, 0.424)
Cd (0.027, 0.027, 0.703)
Cd (0.973, 0.973, 0.297)
P (0.167, 0.167, 0.571)
P (0.469, 0.469, 0.105)
P (0.531, 0.531, 0.895)
P (0.833, 0.833, 0.429)

---

BaLi4CdPb2: relaxed, GGA-PBE.

Summary:
Space-group type   R-3m (166)
Theoretical density   5.8 Mg/m³
Formation enthalpy at 0 K   -0.310 eV per atom
D(E_F)   0.520 states/eV/atom

a = 10.076 Å, b = 10.076 Å, c = 10.076 Å
α = 27.96°, β = 27.96°, γ = 27.96°
Fractional positions:
Ba (0.000, 0.000, 0.000)
Li (0.134, 0.134, 0.134)
Li (0.410, 0.410, 0.410)
Li (0.590, 0.590, 0.590)
Li (0.866, 0.866, 0.866)
Cd (0.500, 0.500, 0.500)
Pb (0.244, 0.244, 0.244)
Pb (0.756, 0.756, 0.756)

---

BaLiCdPb: relaxed, GGA-PBE.

Summary:
Space-group type   F-43m (216)
Theoretical density   6.2 Mg/m³
Formation enthalpy at 0 K   -0.278 eV per atom
D(E_F)   0.748 states/eV/atom

a = 5.603 Å, b = 5.603 Å, c = 5.603 Å
α = 60.00°, β = 60.00°, γ = 60.00°
Fractional positions:
Ba (0.000, 0.000, 0.000)
Li (0.500, 0.500, 0.500)
Cd (0.750, 0.750, 0.750)
Pb (0.250, 0.250, 0.250)

---

Ba2LiCdPb6: relaxed, GGA-PBE.

Summary:
Space-group type   R-3m (166)
Theoretical density   8.1 Mg/m³
Formation enthalpy at 0 K   -0.252 eV per atom
D(E_F)   0.546 states/eV/atom

a = 14.241 Å, b = 14.241 Å, c = 14.241 Å
α = 30.74°, β = 30.74°, γ = 30.74°
Fractional positions:
Ba (0.110, 0.110, 0.110)
Ba (0.283, 0.283, 0.283)
Ba (0.717, 0.717, 0.717)
Ba (0.890, 0.890, 0.890)
Li (0.000, 0.000, 0.000)
Li (0.500, 0.500, 0.500)
Cd (0.427, 0.427, 0.427)
Cd (0.573, 0.573, 0.573)
Pb (0.085, 0.662, 0.662)
Pb (0.220, 0.220, 0.658)
Pb (0.220, 0.658, 0.220)
Pb (0.338, 0.338, 0.915)
Pb (0.338, 0.915, 0.338)
Pb (0.342, 0.780, 0.780)
Pb (0.658, 0.220, 0.220)
Pb (0.662, 0.085, 0.662)
Pb (0.662, 0.662, 0.085)
Pb (0.780, 0.342, 0.780)
Pb (0.780, 0.780, 0.342)
Pb (0.915, 0.338, 0.338)

---

Ba2Li3Cd12Pb: relaxed, GGA-PBE.

Summary:
Space-group type   R-3m (166)
Theoretical density   6.1 Mg/m³
Formation enthalpy at 0 K   -0.101 eV per atom
D(E_F)   0.462 states/eV/atom

a = 12.016 Å, b = 12.016 Å, c = 12.016 Å
α = 34.80°, β = 34.80°, γ = 34.80°
Fractional positions:
Ba (0.140, 0.140, 0.140)
Ba (0.860, 0.860, 0.860)
Li (0.000, 0.500, 0.500)
Li (0.500, 0.000, 0.500)
Li (0.500, 0.500, 0.000)
Cd (0.075, 0.610, 0.610)
Cd (0.092, 0.092, 0.689)
Cd (0.092, 0.689, 0.092)
Cd (0.311, 0.908, 0.908)
Cd (0.390, 0.390, 0.925)
Cd (0.390, 0.925, 0.390)
Cd (0.610, 0.075, 0.610)
Cd (0.610, 0.610, 0.075)
Cd (0.689, 0.092, 0.092)
Cd (0.908, 0.311, 0.908)
Cd (0.908, 0.908, 0.311)
Cd (0.925, 0.390, 0.390)
Pb (0.500, 0.500, 0.500)

---

BaLiCd2Pb4: relaxed, GGA-PBE.

Summary:
Space-group type   R-3m (166)
Theoretical density   8.3 Mg/m³
Formation enthalpy at 0 K   -0.202 eV per atom
D(E_F)   0.565 states/eV/atom

a = 10.390 Å, b = 10.390 Å, c = 10.390 Å
α = 29.37°, β = 29.37°, γ = 29.37°
Fractional positions:
Ba (0.000, 0.000, 0.000)
Li (0.500, 0.500, 0.500)
Cd (0.246, 0.246, 0.246)
Cd (0.754, 0.754, 0.754)
Pb (0.132, 0.132, 0.132)
Pb (0.400, 0.400, 0.400)
Pb (0.600, 0.600, 0.600)
Pb (0.868, 0.868, 0.868)

---

BaLiCdPb3: relaxed, GGA-PBE.

Summary:
Space-group type   Cmcm (63)
Theoretical density   7.5 Mg/m³
Formation enthalpy at 0 K   -0.173 eV per atom
D(E_F)   0.686 states/eV/atom

a = 8.353 Å, b = 8.353 Å, c = 7.006 Å
α = 90.00°, β = 90.00°, γ = 127.13°
Fractional positions:
Ba (0.209, 0.791, 0.750)
Ba (0.791, 0.209, 0.250)
Li (0.438, 0.562, 0.750)
Li (0.562, 0.438, 0.250)
Cd (0.146, 0.854, 0.250)
Cd (0.854, 0.146, 0.750)
Pb (0.220, 0.220, 0.000)
Pb (0.220, 0.220, 0.500)
Pb (0.353, 0.647, 0.250)
Pb (0.647, 0.353, 0.750)
Pb (0.780, 0.780, 0.000)
Pb (0.780, 0.780, 0.500)